This record from Alexandria via LeMat-Bulk describes an optimized crystal structure of Na6NiO4. The functional is PBEsol.

Unit cell a=5.3232 b=7.3947 c=7.3947 alpha=90.00 beta=90.00 gamma=90.00
Last column: nearest neighbours and their distance in Å.
Atoms (fractional coordinates):
Na 0.3946 0.5000 0.0000  4 O 2.24-2.37
Na 0.6054 0.0000 0.5000  4 O 2.24-2.37
Na 0.8946 0.5000 0.0000  4 O 2.24-2.37
Na 0.1054 0.0000 0.5000  4 O 2.24-2.37
Na 0.5000 0.2902 0.2902  4 O 2.34-2.38
Na 0.5000 0.2902 0.7098  4 O 2.34-2.38
Na 0.5000 0.7098 0.2902  4 O 2.34-2.38
Na 0.5000 0.7098 0.7098  4 O 2.34-2.38
Na 0.0000 0.7902 0.7902  4 O 2.34-2.38
Na 0.0000 0.7902 0.2098  4 O 2.34-2.38
Na 0.0000 0.2098 0.7902  4 O 2.34-2.38
Na 0.0000 0.2098 0.2098  4 O 2.34-2.38
Ni 0.0000 0.5000 0.5000  4 O 2.02
Ni 0.5000 0.0000 0.0000  4 O 2.02
O 0.6653 0.2454 0.0000  1 Ni 2.02, 1 Na 2.24
O 0.6653 0.7546 0.0000  1 Ni 2.02, 1 Na 2.24
O 0.3347 0.0000 0.7546  1 Ni 2.02, 1 Na 2.24
O 0.3347 0.0000 0.2454  1 Ni 2.02, 1 Na 2.24
O 0.1653 0.5000 0.7454  1 Ni 2.02, 1 Na 2.24
O 0.1653 0.5000 0.2546  1 Ni 2.02, 1 Na 2.24
O 0.8347 0.7454 0.5000  1 Ni 2.02, 1 Na 2.24
O 0.8347 0.2546 0.5000  1 Ni 2.02, 1 Na 2.24

Properties
Volume = 291.1 Å³ per cell
Energy above the lowest structure with this stoichiometry = 45.8 meV/atom
Uncorrected formation energy = -100.9 kJ per mole of atoms

This record from Alexandria via LeMat-Bulk describes an optimized crystal structure of Na2NiO2. The functional is PBEsol.

Unit cell a=2.8090 b=5.1867 c=8.3061 alpha=90.00 beta=90.00 gamma=105.71
Last column: nearest neighbours and their distance in Å.
Atoms (fractional coordinates):
O 0.2199 0.4398 0.9077  2 Ni 1.88
O 0.0221 0.0443 0.0889  2 Ni 1.87
O 0.7801 0.5602 0.4077  2 Ni 1.88
O 0.9779 0.9557 0.5889  2 Ni 1.87
Na 0.8969 0.7939 0.8470  4 O 2.29-2.37
Na 0.3501 0.7001 0.1693  5 O 2.32-2.53
Na 0.1031 0.2061 0.3470  4 O 2.29-2.37
Na 0.6499 0.2999 0.6693  5 O 2.32-2.53
Ni 0.6222 0.2445 0.0018  4 O 1.87-1.88
Ni 0.3778 0.7555 0.5018  4 O 1.87-1.88

Properties
Volume = 116.5 Å³ per cell
Energy above the lowest structure with this stoichiometry = 0.0 meV/atom
Uncorrected formation energy = -114.7 kJ per mole of atoms

This record from Alexandria via LeMat-Bulk describes an optimized crystal structure of NaNi2O4. The functional is PBEsol.

Unit cell a=4.8734 b=5.6398 c=11.0777 alpha=90.23 beta=90.00 gamma=90.00
Last column: nearest neighbours and their distance in Å.
Atoms (fractional coordinates):
Na 0.5279 0.2504 0.7504  6 O 2.34-2.45
Na 0.8546 0.2504 0.2504  6 O 2.35-2.45
Na 0.1454 0.7504 0.7504  6 O 2.35-2.45
Na 0.4721 0.7504 0.2504  6 O 2.34-2.45
Ni 0.5033 0.7503 0.9972  6 O 1.88-1.92
Ni 0.4981 0.2503 0.0036  6 O 1.88-1.92
Ni 0.5019 0.7503 0.5036  6 O 1.88-1.92
Ni 0.4967 0.2503 0.4972  6 O 1.88-1.92
Ni 0.0007 0.5003 0.0004  6 O 1.88-1.91
Ni 0.0007 0.0004 0.0004  6 O 1.89-1.91
Ni 0.9993 0.0003 0.5004  6 O 1.88-1.91
Ni 0.9993 0.5004 0.5004  6 O 1.89-1.91
O 0.6653 0.0000 0.4102  3 Ni 1.89-1.92
O 0.6670 0.9979 0.0905  3 Ni 1.91
O 0.6656 0.5027 0.4103  3 Ni 1.91
O 0.6667 0.5007 0.0906  3 Ni 1.89-1.92
O 0.8379 0.7486 0.9134  3 Ni 1.88-1.89
O 0.8365 0.7521 0.5874  3 Ni 1.88-1.89
O 0.8275 0.2485 0.9160  3 Ni 1.88-1.90
O 0.8260 0.2522 0.5848  3 Ni 1.88-1.90
O 0.1725 0.7485 0.4160  3 Ni 1.88-1.90
O 0.1740 0.7522 0.0848  3 Ni 1.88-1.90
O 0.1621 0.2486 0.4134  3 Ni 1.88-1.89
O 0.1635 0.2521 0.0874  3 Ni 1.88-1.89
O 0.3333 0.0007 0.5906  3 Ni 1.89-1.92
O 0.3330 0.4979 0.5905  3 Ni 1.91
O 0.3344 0.0027 0.9103  3 Ni 1.91
O 0.3347 0.5000 0.9102  3 Ni 1.89-1.92

Properties
Volume = 304.5 Å³ per cell
Energy above the lowest structure with this stoichiometry = 0.0 meV/atom
Uncorrected formation energy = -100.7 kJ per mole of atoms

This record from Alexandria via LeMat-Bulk describes an optimized crystal structure of Na2Ni3O7. The functional is PBEsol.

Unit cell a=6.4829 b=7.1056 c=8.0983 alpha=58.40 beta=60.39 gamma=66.61
Last column: nearest neighbours and their distance in Å.
Atoms (fractional coordinates):
Na 0.1429 0.2861 0.5662  6 O 2.13-2.16
Na 0.1404 0.9432 0.4257  4 O 2.31-2.41
Na 0.9657 0.5850 0.9562  5 O 2.25-2.47
Na 0.4655 0.2374 0.7810  5 O 2.30-2.56
Ni 0.2921 0.5758 0.1369  6 O 1.84-1.90
Ni 0.5786 0.1446 0.2791  6 O 1.84-1.90
Ni 0.0029 0.9991 0.9967  6 O 1.85-1.89
Ni 0.8546 0.7150 0.4231  6 O 1.84-1.90
Ni 0.4341 0.8542 0.7097  6 O 1.84-1.91
Ni 0.7174 0.4301 0.8538  6 O 1.84-1.90
O 0.2719 0.2760 0.2716  2 Ni 1.84-1.85
O 0.3321 0.8785 0.9604  3 Ni 1.88-1.90
O 0.6159 0.4473 0.1096  3 Ni 1.88-1.90
O 0.9015 0.0143 0.2500  3 Ni 1.87-1.88
O 0.1806 0.6309 0.3700  2 Ni 1.84-1.86
O 0.9638 0.6975 0.1699  3 Ni 1.87-1.89
O 0.5164 0.1337 0.5317  2 Ni 1.84
O 0.5264 0.8471 0.4531  3 Ni 1.88-1.90
O 0.7731 0.4347 0.6064  2 Ni 1.84-1.85
O 0.1064 0.9383 0.7648  2 Ni 1.85-1.88
O 0.3917 0.5541 0.8843  3 Ni 1.88-1.89
O 0.7647 0.7288 0.6776  3 Ni 1.88-1.91
O 0.6786 0.1291 0.0224  3 Ni 1.88-1.90
O 0.0287 0.2999 0.8586  2 Ni 1.85-1.87

Properties
Volume = 271.4 Å³ per cell
Uncorrected formation energy = -96.0 kJ per mole of atoms